No. 1
A plane-wave DFT calculation with PBE was carried out for crystalline Ge2Pd9Pb at its relaxed geometry.

Computed properties:
- crystal system = tetragonal
- magnetization (μB/cell) = 0.00
- final energy (eV per atom) = -5.314
- N(E_F) (states/eV/f.u.) = 3.81
- symmetry = P4/mmm, No. 123
- ΔE_f (meV/atom) = -341

Geometry as CIF:
```
data_Ge2Pd9Pb
_chemical_formula_sum 'Ge2 Pd9 Pb1'
_cell_length_a 4.006
_cell_length_b 4.006
_cell_length_c 11.912
_cell_angle_alpha 90.00
_cell_angle_beta 90.00
_cell_angle_gamma 90.00
_symmetry_space_group_name_H-M 'P 1'
_symmetry_Int_Tables_number 1
_symmetry_space_group_name_Hall 'P 1'
loop_
_atom_site_label
_atom_site_type_symbol
_atom_site_fract_x
_atom_site_fract_y
_atom_site_fract_z
_atom_site_occupancy
Ge1 Ge 0.000 0.000 0.338 1
Ge2 Ge 0.000 0.000 0.662 1
Pd1 Pd 0.500 0.500 0.000 1
Pd2 Pd 0.500 0.500 0.339 1
Pd3 Pd 0.500 0.500 0.661 1
Pd4 Pd 0.500 0.000 0.180 1
Pd5 Pd 0.500 0.000 0.500 1
Pd6 Pd 0.500 0.000 0.820 1
Pd7 Pd 0.000 0.500 0.180 1
Pd8 Pd 0.000 0.500 0.500 1
Pd9 Pd 0.000 0.500 0.820 1
Pb1 Pb 0.000 0.000 0.000 1
```


No. 2
A plane-wave DFT calculation with PBE was carried out for crystalline KBi2Pt2 at its relaxed geometry.

Computed properties:
- crystal system = tetragonal
- magnetization (μB/cell) = 0.00
- final energy (eV per atom) = -4.347
- N(E_F) (states/eV/f.u.) = 2.20
- symmetry = P4/mbm, No. 127
- ΔE_f (meV/atom) = -159

Geometry as CIF:
```
data_KBi2Pt2
_chemical_formula_sum 'K2 Bi4 Pt4'
_cell_length_a 8.583
_cell_length_b 8.583
_cell_length_c 3.333
_cell_angle_alpha 90.00
_cell_angle_beta 90.00
_cell_angle_gamma 90.00
_symmetry_space_group_name_H-M 'P 1'
_symmetry_Int_Tables_number 1
_symmetry_space_group_name_Hall 'P 1'
loop_
_atom_site_label
_atom_site_type_symbol
_atom_site_fract_x
_atom_site_fract_y
_atom_site_fract_z
_atom_site_occupancy
K1 K 0.000 0.000 0.000 1
K2 K 0.500 0.500 0.000 1
Bi1 Bi 0.151 0.651 0.500 1
Bi2 Bi 0.651 0.849 0.500 1
Bi3 Bi 0.849 0.349 0.500 1
Bi4 Bi 0.349 0.151 0.500 1
Pt1 Pt 0.366 0.866 0.000 1
Pt2 Pt 0.866 0.634 0.000 1
Pt3 Pt 0.634 0.134 0.000 1
Pt4 Pt 0.134 0.366 0.000 1
```


No. 3
A plane-wave DFT calculation with PBE was carried out for crystalline AlTe3S at its relaxed geometry.

Computed properties:
- crystal system = cubic
- magnetization (μB/cell) = 0.00
- final energy (eV per atom) = -2.952
- N(E_F) (states/eV/f.u.) = 3.87
- offset from the most stable computed form (kJ/mol of formula units) = 0.0
- symmetry = Pm-3m, No. 221
- energy relative to the elements, uncorrected (eV per atom) = 0.507

Geometry as CIF:
```
data_AlTe3S
_chemical_formula_sum 'Al1 Te3 S1'
_cell_length_a 5.295
_cell_length_b 5.295
_cell_length_c 5.295
_cell_angle_alpha 90.00
_cell_angle_beta 90.00
_cell_angle_gamma 90.00
_symmetry_space_group_name_H-M 'P 1'
_symmetry_Int_Tables_number 1
_symmetry_space_group_name_Hall 'P 1'
loop_
_atom_site_label
_atom_site_type_symbol
_atom_site_fract_x
_atom_site_fract_y
_atom_site_fract_z
_atom_site_occupancy
S1 S 0.000 0.000 0.000 1
Te1 Te 0.000 0.500 0.000 1
Te2 Te 0.000 0.000 0.500 1
Te3 Te 0.500 0.000 0.000 1
Al1 Al 0.500 0.500 0.500 1
```


No. 4
A plane-wave DFT calculation with PBE was carried out for crystalline TiHgSeS at its relaxed geometry.

Computed properties:
- crystal system = triclinic
- magnetization (μB/cell) = 0.00
- final energy (eV per atom) = -4.761
- N(E_F) (states/eV/f.u.) = 1.56
- symmetry = P1, No. 1
- energy relative to the elements, uncorrected (eV per atom) = -0.809

Geometry as CIF:
```
data_TiHgSeS
_chemical_formula_sum 'Ti1 Hg1 Se1 S1'
_cell_length_a 3.419
_cell_length_b 3.397
_cell_length_c 10.007
_cell_angle_alpha 101.02
_cell_angle_beta 91.15
_cell_angle_gamma 120.09
_symmetry_space_group_name_H-M 'P 1'
_symmetry_Int_Tables_number 1
_symmetry_space_group_name_Hall 'P 1'
loop_
_atom_site_label
_atom_site_type_symbol
_atom_site_fract_x
_atom_site_fract_y
_atom_site_fract_z
_atom_site_occupancy
Ti1 Ti 0.042 0.346 0.071 1
Hg1 Hg 0.517 0.310 0.542 1
Se1 Se 0.630 0.540 0.897 1
S1 S 0.774 0.794 0.218 1
```


No. 5
A plane-wave DFT calculation with PBE was carried out for crystalline Er3SnGe2 at its relaxed geometry.

Computed properties:
- crystal system = orthorhombic
- magnetization (μB/cell) = 0.00
- final energy (eV per atom) = -5.103
- N(E_F) (states/eV/f.u.) = 3.12
- symmetry = Cmmm, No. 65
- ΔE_f (meV/atom) = -615

Geometry as CIF:
```
data_Er3SnGe2
_chemical_formula_sum 'Er3 Sn1 Ge2'
_cell_length_a 4.332
_cell_length_b 4.176
_cell_length_c 8.141
_cell_angle_alpha 90.00
_cell_angle_beta 105.43
_cell_angle_gamma 90.00
_symmetry_space_group_name_H-M 'P 1'
_symmetry_Int_Tables_number 1
_symmetry_space_group_name_Hall 'P 1'
loop_
_atom_site_label
_atom_site_type_symbol
_atom_site_fract_x
_atom_site_fract_y
_atom_site_fract_z
_atom_site_occupancy
Er1 Er 0.329 0.000 0.658 1
Er2 Er 0.671 0.000 0.342 1
Er3 Er 0.500 0.500 0.000 1
Sn1 Sn 0.000 0.000 0.000 1
Ge1 Ge 0.157 0.500 0.314 1
Ge2 Ge 0.843 0.500 0.686 1
```


No. 6
A plane-wave DFT calculation with PBE was carried out for crystalline Tm5Sb4P at its relaxed geometry.

Computed properties:
- crystal system = tetragonal
- magnetization (μB/cell) = 0.00
- final energy (eV per atom) = -5.564
- N(E_F) (states/eV/f.u.) = 1.60
- offset from the most stable computed form (kJ/mol of formula units) = 0.0
- symmetry = I4/m, No. 87
- energy relative to the elements, uncorrected (eV per atom) = -1.138

Geometry as CIF:
```
data_Tm5Sb4P
_chemical_formula_sum 'Tm5 Sb4 P1'
_cell_length_a 6.048
_cell_length_b 7.380
_cell_length_c 7.380
_cell_angle_alpha 80.33
_cell_angle_beta 65.81
_cell_angle_gamma 65.81
_symmetry_space_group_name_H-M 'P 1'
_symmetry_Int_Tables_number 1
_symmetry_space_group_name_Hall 'P 1'
loop_
_atom_site_label
_atom_site_type_symbol
_atom_site_fract_x
_atom_site_fract_y
_atom_site_fract_z
_atom_site_occupancy
Tm1 Tm 0.904 0.378 0.816 1
Tm2 Tm 0.282 0.816 0.622 1
Tm3 Tm 0.720 0.184 0.378 1
Tm4 Tm 0.098 0.622 0.184 1
Tm5 Tm 0.501 0.000 0.000 1
Sb1 Sb 0.407 0.397 0.791 1
Sb2 Sb 0.804 0.791 0.603 1
Sb3 Sb 0.198 0.209 0.397 1
Sb4 Sb 0.595 0.603 0.209 1
P1 P 0.001 0.000 0.000 1
```


No. 7
A plane-wave DFT calculation with PBE was carried out for crystalline Pm2PtO at its relaxed geometry.

Computed properties:
- crystal system = tetragonal
- magnetization (μB/cell) = 0.00
- final energy (eV per atom) = -6.555
- N(E_F) (states/eV/f.u.) = 2.47
- offset from the most stable computed form (kJ/mol of formula units) = 157.2
- symmetry = P4/mmm, No. 123
- energy relative to the elements, uncorrected (eV per atom) = -1.430

Geometry as CIF:
```
data_Pm2PtO
_chemical_formula_sum 'Pm2 Pt1 O1'
_cell_length_a 3.255
_cell_length_b 3.255
_cell_length_c 7.124
_cell_angle_alpha 90.00
_cell_angle_beta 90.00
_cell_angle_gamma 90.00
_symmetry_space_group_name_H-M 'P 1'
_symmetry_Int_Tables_number 1
_symmetry_space_group_name_Hall 'P 1'
loop_
_atom_site_label
_atom_site_type_symbol
_atom_site_fract_x
_atom_site_fract_y
_atom_site_fract_z
_atom_site_occupancy
O1 O 0.500 0.500 0.000 1
Pt1 Pt 0.500 0.500 0.500 1
Pm1 Pm 0.000 0.000 0.774 1
Pm2 Pm 0.000 0.000 0.226 1
```


No. 8
A plane-wave DFT calculation with PBE was carried out for crystalline TaAg3 at its relaxed geometry.

Computed properties:
- crystal system = orthorhombic
- magnetization (μB/cell) = 0.00
- final energy (eV per atom) = -4.708
- N(E_F) (states/eV/f.u.) = 2.99
- symmetry = Cmmm, No. 65
- ΔE_f (meV/atom) = 394

Geometry as CIF:
```
data_TaAg3
_chemical_formula_sum 'Ta1 Ag3'
_cell_length_a 5.153
_cell_length_b 5.153
_cell_length_c 2.792
_cell_angle_alpha 90.00
_cell_angle_beta 90.00
_cell_angle_gamma 103.47
_symmetry_space_group_name_H-M 'P 1'
_symmetry_Int_Tables_number 1
_symmetry_space_group_name_Hall 'P 1'
loop_
_atom_site_label
_atom_site_type_symbol
_atom_site_fract_x
_atom_site_fract_y
_atom_site_fract_z
_atom_site_occupancy
Ag1 Ag 0.000 0.000 0.000 1
Ag2 Ag 0.000 0.500 0.500 1
Ag3 Ag 0.500 0.000 0.500 1
Ta1 Ta 0.500 0.500 0.000 1
```


No. 9
A plane-wave DFT calculation with PBE was carried out for crystalline MgMn2AuN at its relaxed geometry.

Computed properties:
- crystal system = tetragonal
- magnetization (μB/cell) = 6.37
- final energy (eV per atom) = -6.621
- N(E_F) (states/eV/f.u.) = 2.92
- symmetry = P4/mmm, No. 123
- energy relative to the elements, uncorrected (eV per atom) = -0.314

Geometry as CIF:
```
data_MgMn2AuN
_chemical_formula_sum 'Mg1 Mn2 Au1 N1'
_cell_length_a 3.976
_cell_length_b 3.976
_cell_length_c 4.250
_cell_angle_alpha 90.00
_cell_angle_beta 90.00
_cell_angle_gamma 90.00
_symmetry_space_group_name_H-M 'P 1'
_symmetry_Int_Tables_number 1
_symmetry_space_group_name_Hall 'P 1'
loop_
_atom_site_label
_atom_site_type_symbol
_atom_site_fract_x
_atom_site_fract_y
_atom_site_fract_z
_atom_site_occupancy
Mg1 Mg 0.000 0.000 0.500 1
Mn1 Mn 0.000 0.500 0.000 1
Mn2 Mn 0.500 0.000 0.000 1
Au1 Au 0.500 0.500 0.500 1
N1 N 0.000 0.000 0.000 1
```


No. 10
A plane-wave DFT calculation with PBE was carried out for crystalline Pu2ThZn9 at its relaxed geometry.

Computed properties:
- crystal system = trigonal
- magnetization (μB/cell) = 11.34
- final energy (eV per atom) = -4.149
- N(E_F) (states/eV/f.u.) = 14.03
- symmetry = R-3m, No. 166
- ΔE_f (meV/atom) = -187

Geometry as CIF:
```
data_Pu2ThZn9
_chemical_formula_sum 'Pu2 Th1 Zn9'
_cell_length_a 5.419
_cell_length_b 5.419
_cell_length_c 9.292
_cell_angle_alpha 73.05
_cell_angle_beta 73.05
_cell_angle_gamma 60.00
_symmetry_space_group_name_H-M 'P 1'
_symmetry_Int_Tables_number 1
_symmetry_space_group_name_Hall 'P 1'
loop_
_atom_site_label
_atom_site_type_symbol
_atom_site_fract_x
_atom_site_fract_y
_atom_site_fract_z
_atom_site_occupancy
Pu1 Pu 0.853 0.853 0.441 1
Pu2 Pu 0.147 0.147 0.559 1
Th1 Th 0.000 0.000 0.000 1
Zn1 Zn 0.665 0.665 0.006 1
Zn2 Zn 0.335 0.335 0.994 1
Zn3 Zn 0.500 0.500 0.500 1
Zn4 Zn 0.416 0.416 0.246 1
Zn5 Zn 0.921 0.416 0.246 1
Zn6 Zn 0.416 0.921 0.246 1
Zn7 Zn 0.584 0.584 0.754 1
Zn8 Zn 0.584 0.079 0.754 1
Zn9 Zn 0.079 0.584 0.754 1
```


No. 11
A plane-wave DFT calculation with PBE was carried out for crystalline Be2CdTc at its relaxed geometry.

Computed properties:
- crystal system = monoclinic
- magnetization (μB/cell) = 0.00
- final energy (eV per atom) = -4.413
- N(E_F) (states/eV/f.u.) = 1.59
- symmetry = C2/m, No. 12
- ΔE_f (meV/atom) = 271

Geometry as CIF:
```
data_Be2CdTc
_chemical_formula_sum 'Be2 Cd1 Tc1'
_cell_length_a 4.309
_cell_length_b 4.309
_cell_length_c 5.172
_cell_angle_alpha 82.70
_cell_angle_beta 82.70
_cell_angle_gamma 35.82
_symmetry_space_group_name_H-M 'P 1'
_symmetry_Int_Tables_number 1
_symmetry_space_group_name_Hall 'P 1'
loop_
_atom_site_label
_atom_site_type_symbol
_atom_site_fract_x
_atom_site_fract_y
_atom_site_fract_z
_atom_site_occupancy
Be1 Be 0.992 0.992 0.080 1
Be2 Be 0.508 0.508 0.420 1
Tc1 Tc 0.250 0.250 0.250 1
Cd1 Cd 0.750 0.750 0.750 1
```


No. 12
A plane-wave DFT calculation with PBE was carried out for crystalline TaMn2Tc at its relaxed geometry.

Computed properties:
- crystal system = monoclinic
- magnetization (μB/cell) = 2.93
- final energy (eV per atom) = -10.081
- N(E_F) (states/eV/f.u.) = 4.73
- offset from the most stable computed form (kJ/mol of formula units) = 47.6
- symmetry = Pm, No. 6
- ΔE_f (meV/atom) = 59

Geometry as CIF:
```
data_TaMn2Tc
_chemical_formula_sum 'Ta1 Mn2 Tc1'
_cell_length_a 4.287
_cell_length_b 2.699
_cell_length_c 4.894
_cell_angle_alpha 80.67
_cell_angle_beta 90.00
_cell_angle_gamma 90.00
_symmetry_space_group_name_H-M 'P 1'
_symmetry_Int_Tables_number 1
_symmetry_space_group_name_Hall 'P 1'
loop_
_atom_site_label
_atom_site_type_symbol
_atom_site_fract_x
_atom_site_fract_y
_atom_site_fract_z
_atom_site_occupancy
Mn1 Mn 0.000 0.023 0.992 1
Mn2 Mn 0.500 0.216 0.250 1
Ta1 Ta 0.000 0.512 0.486 1
Tc1 Tc 0.500 0.748 0.772 1
```


- N(E_F) of number 8 (TaAg3)?
  2.99 states/eV/f.u.


- Which of these has the lowest final energy?
  TaMn2Tc